VASP calculation (GGA-PBE) on Ce2NdGa2Pt7 after structural relaxation.

Results
**ΔE_f**: -0.90 eV per atom
**Total magnetic moment**: 0.124 μB per atom
**Mass density**: 13.38 Mg/m³

The structure in extended XYZ format:
```
12
Lattice="-0.7443 3.9787 0.8124 -1.6649 -0.9980 3.6436 11.7153 2.2414 7.7492" Properties=species:S:1:pos:R:3 pbc="T T T"
Pt -1.2046 1.4904 2.2280
Pt 0.4086 3.6533 3.5872
Pt 8.8976 1.5688 8.6180
Pt 5.1390 3.1607 7.2268
Pt -0.0514 1.1669 5.0017
Pt 4.1672 2.0614 4.9784
Pt 9.3575 4.0551 7.2035
Ce 2.0790 3.4235 6.6938
Ce 7.2271 1.7986 5.5115
Ga 7.2702 3.4456 8.4205
Ga 2.0360 1.7765 3.7847
Nd 0.0000 0.0000 0.0000
```

VASP calculation (GGA-PBE) on CeNdGaPt after structural relaxation.

Results
**ΔE_f**: -0.68 eV per atom
**Total magnetic moment**: 0.162 μB per atom
**Mass density**: 9.44 Mg/m³

The structure in extended XYZ format:
```
4
Lattice="-1.6654 -4.1499 2.5538 -1.7796 -4.0770 -2.5939 2.7288 -4.3653 -0.1224" Properties=species:S:1:pos:R:3 pbc="T T T"
Ga -0.5372 -9.4442 -0.1220
Ce 0.0000 0.0000 0.0000
Pt -0.1791 -3.1481 -0.0407
Nd -0.3581 -6.2961 -0.0813
```

- ΔE_f of number 1 (Ce2NdGa2Pt7)?
  -0.90 eV per atom